(w)
{
  "formula": "TiPWS2",
  "functional": "GGA-PBE",
  "state": "optimized geometry",
  "cell": [[-1.387, -1.367, -4.105], [4.325, -0.539, -1.282], [-0.108, -4.548, 1.551]],
  "species": ["S", "S", "P", "Ti", "W"],
  "fractional_positions": [[0.500, 0.000, 0.000], [0.000, 0.500, 0.000], [0.000, 0.000, 0.500], [0.000, 0.000, 0.000], [0.500, 0.500, 0.500]],
  "spacegroup": "P4/mmm"
}

(x)
{
  "formula": "TiPWS2",
  "functional": "GGA-PBE",
  "state": "optimized geometry",
  "cell": [[4.601, 0.000, 0.000], [0.000, 4.601, 0.000], [0.000, 0.000, 4.804]],
  "species": ["Ti", "S", "W", "P", "S"],
  "fractional_positions": [[0.500, 0.500, 0.500], [0.500, 0.000, 0.000], [0.000, 0.000, 0.000], [0.000, 0.000, 0.500], [0.000, 0.500, 0.000]],
  "spacegroup": "P4/mmm"
}

Energy relative to the most stable one, in eV/atom: (w) 0.293; (x) 0.000

(w)
{
  "formula": "TiP2WS",
  "functional": "GGA-PBE",
  "state": "optimized geometry",
  "cell": [[4.708, 0.000, 0.000], [0.000, 4.708, 0.000], [0.000, 0.000, 4.591]],
  "species": ["P", "W", "P", "S", "Ti"],
  "fractional_positions": [[0.000, 0.500, 0.000], [0.000, 0.000, 0.000], [0.500, 0.000, 0.000], [0.000, 0.000, 0.500], [0.500, 0.500, 0.500]],
  "spacegroup": "P4/mmm"
}

(x)
{
  "formula": "TiP2WS",
  "functional": "GGA-PBE",
  "state": "optimized geometry",
  "cell": [[4.655, 0.000, 0.000], [0.000, 4.655, 0.000], [0.000, 0.000, 4.529]],
  "species": ["W", "P", "S", "Ti", "P"],
  "fractional_positions": [[0.500, 0.500, 0.500], [0.500, 0.000, 0.000], [0.000, 0.000, 0.500], [0.000, 0.000, 0.000], [0.000, 0.500, 0.000]],
  "spacegroup": "P4/mmm"
}

Energy relative to the most stable one, in eV/atom: (w) 0.000; (x) 0.346

(w)
{
  "formula": "TiZnPS2",
  "functional": "GGA-PBE",
  "state": "optimized geometry",
  "cell": [[-3.949, 0.839, -2.200], [-0.092, -4.348, -1.493], [-2.324, -1.223, 3.704]],
  "species": ["S", "S", "P", "Ti", "Zn"],
  "fractional_positions": [[0.500, 0.000, 0.000], [0.000, 0.500, 0.000], [0.000, 0.000, 0.500], [0.500, 0.500, 0.500], [0.000, 0.000, 0.000]],
  "spacegroup": "P4/mmm"
}

(x)
{
  "formula": "TiZnPS2",
  "functional": "GGA-PBE",
  "state": "optimized geometry",
  "cell": [[4.631, 0.000, 0.000], [0.000, 4.631, 0.000], [0.000, 0.000, 4.897]],
  "species": ["Zn", "S", "Ti", "P", "S"],
  "fractional_positions": [[0.500, 0.500, 0.500], [0.500, 0.000, 0.000], [0.000, 0.000, 0.000], [0.000, 0.000, 0.500], [0.000, 0.500, 0.000]],
  "spacegroup": "P4/mmm"
}

Energy relative to the most stable one, in eV/atom: (w) 0.587; (x) 0.000

(w)
{
  "formula": "ZrTiP2S",
  "functional": "GGA-PBE",
  "state": "optimized geometry",
  "cell": [[4.981, 0.000, 0.000], [0.000, 4.981, 0.000], [0.000, 0.000, 4.882]],
  "species": ["Ti", "Zr", "P", "P", "S"],
  "fractional_positions": [[0.500, 0.500, 0.500], [0.000, 0.000, 0.000], [0.000, 0.500, 0.000], [0.500, 0.000, 0.000], [0.000, 0.000, 0.500]],
  "spacegroup": "P4/mmm"
}

(x)
{
  "formula": "ZrTiP2S",
  "functional": "GGA-PBE",
  "state": "optimized geometry",
  "cell": [[4.681, 0.000, 0.000], [0.000, 4.681, 0.000], [0.000, 0.000, 4.498]],
  "species": ["S", "P", "Zr", "Ti", "P"],
  "fractional_positions": [[0.000, 0.000, 0.500], [0.500, 0.000, 0.000], [0.500, 0.500, 0.500], [0.000, 0.000, 0.000], [0.000, 0.500, 0.000]],
  "spacegroup": "P4/mmm"
}

Energy relative to the most stable one, in eV/atom: (w) 0.393; (x) 0.000

(w)
{
  "formula": "Tl2PS",
  "functional": "GGA-PBE",
  "state": "optimized geometry",
  "cell": [[-2.047, -4.605, -0.638], [-4.002, -1.410, 2.793], [-4.571, -0.470, -2.166]],
  "species": ["Tl", "Tl", "S", "P"],
  "fractional_positions": [[0.750, 0.750, 0.750], [0.250, 0.250, 0.250], [0.500, 0.500, 0.500], [0.000, 0.000, 0.000]],
  "spacegroup": "Fm-3m"
}

(x)
{
  "formula": "Tl2PS",
  "functional": "GGA-PBE",
  "state": "optimized geometry",
  "cell": [[-5.106, -0.253, -3.616], [2.582, -4.638, -3.322], [-3.854, -6.723, 0.491]],
  "species": ["Tl", "Tl", "P", "Tl", "P", "S", "S", "Tl"],
  "fractional_positions": [[0.875, 0.863, 0.750], [0.613, 0.125, 0.250], [0.500, 0.500, 0.000], [0.137, 0.625, 0.250], [0.250, 0.750, 0.500], [0.750, 0.250, 0.500], [0.000, 0.000, 0.000], [0.375, 0.387, 0.750]],
  "spacegroup": "I-42d"
}

Energy relative to the most stable one, in eV/atom: (w) 0.275; (x) 0.000

(w)
{
  "formula": "Tl3PS4",
  "functional": "GGA-PBE",
  "state": "optimized geometry",
  "cell": [[-0.050, 5.668, -7.067], [-4.476, -6.306, -5.026], [-9.635, 4.139, 3.388]],
  "species": ["Tl", "S", "S", "Tl", "S", "S", "S", "Tl", "S", "S", "P", "Tl", "S", "S", "S", "S", "Tl", "S", "Tl", "Tl", "S", "Tl", "P", "Tl", "Tl", "Tl", "S", "P", "Tl", "S", "P", "S"],
  "fractional_positions": [[0.102, 0.109, 0.250], [0.835, 0.032, 0.097], [0.335, 0.468, 0.097], [0.602, 0.391, 0.250], [0.488, 0.940, 0.750], [0.012, 0.440, 0.250], [0.335, 0.468, 0.403], [0.435, 0.802, 0.054], [0.165, 0.968, 0.903], [0.697, 0.748, 0.250], [0.721, 0.972, 0.250], [0.065, 0.302, 0.946], [0.803, 0.248, 0.750], [0.665, 0.532, 0.903], [0.665, 0.532, 0.597], [0.197, 0.752, 0.250], [0.935, 0.698, 0.054], [0.835, 0.032, 0.403], [0.435, 0.802, 0.446], [0.935, 0.698, 0.446], [0.303, 0.252, 0.750], [0.565, 0.198, 0.554], [0.779, 0.472, 0.750], [0.398, 0.609, 0.750], [0.565, 0.198, 0.946], [0.898, 0.891, 0.750], [0.512, 0.060, 0.250], [0.221, 0.528, 0.250], [0.065, 0.302, 0.554], [0.988, 0.560, 0.750], [0.279, 0.028, 0.750], [0.165, 0.968, 0.597]],
  "spacegroup": "Pnma"
}

(x)
{
  "formula": "Tl3PS4",
  "functional": "GGA-PBE",
  "state": "optimized geometry",
  "cell": [[-2.448, 0.595, 5.572], [-5.861, -6.553, -1.875], [5.902, -6.211, 3.256]],
  "species": ["S", "S", "S", "Tl", "Tl", "Tl", "Tl", "S", "Tl", "P", "P", "S", "Tl", "S", "S", "S"],
  "fractional_positions": [[0.063, 0.996, 0.000], [0.572, 0.681, 0.312], [0.128, 0.776, 0.500], [0.571, 0.896, 0.000], [0.570, 0.322, 0.699], [0.570, 0.322, 0.301], [0.070, 0.678, 0.199], [0.072, 0.319, 0.188], [0.070, 0.678, 0.801], [0.970, 0.215, 0.000], [0.470, 0.785, 0.500], [0.072, 0.319, 0.812], [0.071, 0.104, 0.500], [0.563, 0.004, 0.500], [0.572, 0.681, 0.688], [0.628, 0.224, 0.000]],
  "spacegroup": "Pmn2_1"
}

Energy relative to the most stable one, in eV/atom: (w) 0.000; (x) 0.049